Entry 1:
## Dy3Co2Ge3 (PBE-GGA)

Data for Dy3Co2Ge3 after structural relaxation.

a b c (Å): 5.618 5.618 14.018
angles (deg): 90.00 90.00 136.44
Sites, in units of the cell vectors:
Dy 0.082 0.918 0.609
Dy 0.082 0.918 0.891
Dy 0.360 0.640 0.750
Dy 0.640 0.360 0.250
Dy 0.918 0.082 0.109
Dy 0.918 0.082 0.391
Co 0.207 0.793 0.098
Co 0.207 0.793 0.402
Co 0.793 0.207 0.598
Co 0.793 0.207 0.902
Ge 0.338 0.662 0.250
Ge 0.369 0.631 0.539
Ge 0.369 0.631 0.961
Ge 0.631 0.369 0.039
Ge 0.631 0.369 0.461
Ge 0.662 0.338 0.750

Values from the calculation:
Crystal system = orthorhombic
Energy above the lowest structure with this stoichiometry = 0.000 eV per atom
Symmetry = Cmcm

=====

Entry 2:
## Pr2In3Au4 (PBE-GGA)

Data for Pr2In3Au4 after structural relaxation.

a b c (Å): 8.901 8.901 8.144
angles (deg): 90.00 90.00 138.76
Sites, in units of the cell vectors:
Pr 0.106 0.894 0.909
Pr 0.394 0.606 0.409
Pr 0.606 0.394 0.591
Pr 0.894 0.106 0.091
In 0.000 0.000 0.500
In 0.024 0.476 0.750
In 0.476 0.024 0.250
In 0.500 0.500 0.000
In 0.524 0.976 0.750
In 0.976 0.524 0.250
Au 0.174 0.826 0.536
Au 0.194 0.306 0.750
Au 0.306 0.194 0.250
Au 0.326 0.674 0.036
Au 0.674 0.326 0.964
Au 0.694 0.806 0.750
Au 0.806 0.694 0.250
Au 0.826 0.174 0.464

Values from the calculation:
Crystal system = orthorhombic
Energy above the lowest structure with this stoichiometry = 0.029 eV per atom
Symmetry = Cmce

=====

Energy relative to the elements readings, ordered: -557.8; -470.1 kJ/mol of formula units
V readings, ordered: 305; 425 Å³ per cell